No. 1
# TeMo2Cl | Alexandria via LeMat-Bulk | PBE | relaxed
data_TeMo2Cl
_chemical_formula_sum 'Te1 Mo2 Cl1'
_cell_length_a 8.526
_cell_length_b 8.526
_cell_length_c 8.526
_cell_angle_alpha 21.18
_cell_angle_beta 21.18
_cell_angle_gamma 21.18
_space_group_name_H-M_alt 'P 1'
_space_group_IT_number 1
loop_
_space_group_symop_operation_xyz
'x,y,z'
loop_
_atom_site_label
_atom_site_type_symbol
_atom_site_fract_x
_atom_site_fract_y
_atom_site_fract_z
Te1 Te 0.000 0.000 0.000
Mo1 Mo 0.250 0.250 0.250
Mo2 Mo 0.750 0.750 0.750
Cl1 Cl 0.500 0.500 0.500
# **Raw formation energy**: 11.58 kcal/mol of atoms
# **Offset from the most stable computed form**: 0.5940 eV/atom
# **Volume**: 17.71 A^3/atom
# **Calculated density**: 8320 kg/m³
# **Calculated total energy**: -24.64 eV/cell



No. 2
# YGe3F | Alexandria via LeMat-Bulk | PBE | relaxed
data_YGe3F
_chemical_formula_sum 'Y1 Ge3 F1'
_cell_length_a 4.598
_cell_length_b 4.598
_cell_length_c 4.598
_cell_angle_alpha 90.00
_cell_angle_beta 90.00
_cell_angle_gamma 90.00
_space_group_name_H-M_alt 'P 1'
_space_group_IT_number 1
loop_
_space_group_symop_operation_xyz
'x,y,z'
loop_
_atom_site_label
_atom_site_type_symbol
_atom_site_fract_x
_atom_site_fract_y
_atom_site_fract_z
Y1 Y 0.000 0.000 0.000
Ge1 Ge 0.000 0.500 0.500
Ge2 Ge 0.500 0.000 0.500
Ge3 Ge 0.500 0.500 0.000
F1 F 0.500 0.500 0.500
# **Raw formation energy**: -12.44 kcal/mol of atoms
# **Offset from the most stable computed form**: 0.0000 eV/atom
# **Volume**: 19.44 A^3/atom
# **Calculated density**: 5566 kg/m³
# **Calculated total energy**: -24.88 eV/cell



No. 3
# Sn2HgAu2 | Alexandria via LeMat-Bulk | PBE | relaxed
data_Sn2HgAu2
_chemical_formula_sum 'Sn4 Hg2 Au4'
_cell_length_a 8.256
_cell_length_b 8.256
_cell_length_c 3.488
_cell_angle_alpha 90.00
_cell_angle_beta 90.00
_cell_angle_gamma 90.00
_space_group_name_H-M_alt 'P 1'
_space_group_IT_number 1
loop_
_space_group_symop_operation_xyz
'x,y,z'
loop_
_atom_site_label
_atom_site_type_symbol
_atom_site_fract_x
_atom_site_fract_y
_atom_site_fract_z
Sn1 Sn 0.178 0.322 0.000
Sn2 Sn 0.322 0.822 0.000
Sn3 Sn 0.678 0.178 0.000
Sn4 Sn 0.822 0.678 0.000
Hg1 Hg 0.000 0.000 0.000
Hg2 Hg 0.500 0.500 0.000
Au1 Au 0.123 0.623 0.500
Au2 Au 0.377 0.123 0.500
Au3 Au 0.623 0.877 0.500
Au4 Au 0.877 0.377 0.500
# **Offset from the most stable computed form**: 0.0297 eV/atom
# **Formation energy from the elements**: -0.021 eV per atom
# **Volume**: 23.78 A^3/atom
# **Calculated density**: 11620 kg/m³
# **Calculated total energy**: -29.93 eV/cell



No. 4
# OsSe | Alexandria via LeMat-Bulk | PBE | relaxed
data_OsSe
_chemical_formula_sum 'Os2 Se2'
_cell_length_a 2.872
_cell_length_b 2.872
_cell_length_c 10.140
_cell_angle_alpha 90.00
_cell_angle_beta 90.00
_cell_angle_gamma 121.38
_space_group_name_H-M_alt 'P 1'
_space_group_IT_number 1
loop_
_space_group_symop_operation_xyz
'x,y,z'
loop_
_atom_site_label
_atom_site_type_symbol
_atom_site_fract_x
_atom_site_fract_y
_atom_site_fract_z
Os1 Os 0.250 0.750 0.892
Os2 Os 0.750 0.250 0.108
Se1 Se 0.250 0.750 0.328
Se2 Se 0.750 0.250 0.672
# **Raw formation energy**: 16.63 kcal/mol of atoms
# **Volume**: 17.85 A^3/atom
# **Calculated density**: 12520 kg/m³
# **Calculated total energy**: -26.54 eV/cell



No. 5
# TeIrPdBr2 | Alexandria via LeMat-Bulk | PBE | relaxed
data_TeIrPdBr2
_chemical_formula_sum 'Te1 Ir1 Pd1 Br2'
_cell_length_a 5.621
_cell_length_b 5.621
_cell_length_c 5.069
_cell_angle_alpha 90.00
_cell_angle_beta 90.00
_cell_angle_gamma 90.00
_space_group_name_H-M_alt 'P 1'
_space_group_IT_number 1
loop_
_space_group_symop_operation_xyz
'x,y,z'
loop_
_atom_site_label
_atom_site_type_symbol
_atom_site_fract_x
_atom_site_fract_y
_atom_site_fract_z
Te1 Te 0.000 0.000 0.000
Ir1 Ir 0.500 0.500 0.500
Pd1 Pd 0.000 0.000 0.500
Br1 Br 0.000 0.500 0.000
Br2 Br 0.500 0.000 0.000
# **Raw formation energy**: 30.90 kcal/mol of atoms
# **Volume**: 32.03 A^3/atom
# **Calculated density**: 6077 kg/m³
# **Calculated total energy**: -13.84 eV/cell